KCeTlF6 | PBE | relaxed

Cell lengths 5.819, 5.819, 12.074 Å; angles 90.00, 90.00, 90.00 degrees
Positions (direct):
K 0.000 0.000 0.000
K 0.500 0.500 0.500
Ce 0.000 0.000 0.665
Ce 0.500 0.500 0.165
Tl 0.000 0.000 0.328
Tl 0.500 0.500 0.828
F 0.173 0.173 0.803
F 0.182 0.182 0.534
F 0.234 0.234 0.162
F 0.266 0.734 0.662
F 0.318 0.682 0.034
F 0.327 0.673 0.303
F 0.673 0.327 0.303
F 0.682 0.318 0.034
F 0.734 0.266 0.662
F 0.766 0.766 0.162
F 0.818 0.818 0.534
F 0.827 0.827 0.803

Output
Volume, Å³ per cell: 409
Formation energy without anion corrections, meV/atom: -3163
Calculated total energy, eV per atom: -5.4543
Crystal system: tetragonal